First-principles (PBE-GGA) data for a geometry-optimized Pm2PdCl2 structure, as listed in Alexandria via LeMat-Bulk.

## Properties
M_tot	0.00	μB per cell
DFT total energy	-25.82	eV per formula unit
raw formation energy	-717	kJ/mol of formula units
crystal system	trigonal

Structure (CIF):
```
data_Pm2PdCl2
_chemical_formula_sum 'Pm2 Pd1 Cl2'
_space_group_name_H-M_alt 'P 1'
_space_group_IT_number 1
_space_group_name_Hall 'P 1'
_cell_length_a 10.715
_cell_length_b 10.715
_cell_length_c 10.715
_cell_angle_alpha 21.79
_cell_angle_beta 21.79
_cell_angle_gamma 21.79
loop_
_atom_site_label
_atom_site_type_symbol
_atom_site_fract_x
_atom_site_fract_y
_atom_site_fract_z
Pm1 Pm 0.111 0.111 0.111
Pm2 Pm 0.889 0.889 0.889
Pd1 Pd 0.500 0.500 0.500
Cl1 Cl 0.278 0.278 0.278
Cl2 Cl 0.722 0.722 0.722
```

---

First-principles (PBE-GGA) data for a geometry-optimized AcAgPtRh structure, as listed in Alexandria via LeMat-Bulk.

## Properties
ΔE_f	-1.3	eV/f.u.
M_tot	0.00	μB per cell
DFT total energy	-21.65	eV per formula unit
crystal system	cubic

Structure (CIF):
```
data_AcAgPtRh
_chemical_formula_sum 'Ac1 Ag1 Pt1 Rh1'
_space_group_name_H-M_alt 'P 1'
_space_group_IT_number 1
_space_group_name_Hall 'P 1'
_cell_length_a 4.926
_cell_length_b 4.926
_cell_length_c 4.926
_cell_angle_alpha 60.00
_cell_angle_beta 60.00
_cell_angle_gamma 60.00
loop_
_atom_site_label
_atom_site_type_symbol
_atom_site_fract_x
_atom_site_fract_y
_atom_site_fract_z
Ac1 Ac 0.000 0.000 0.000
Ag1 Ag 0.500 0.500 0.500
Pt1 Pt 0.750 0.750 0.750
Rh1 Rh 0.250 0.250 0.250
```

---

First-principles (PBE-GGA) data for a geometry-optimized Y2Ag3GeTe6 structure, as listed in Alexandria via LeMat-Bulk.

## Properties
M_tot	0.00	μB per cell
DFT total energy	-51.73	eV per formula unit
raw formation energy	-655	kJ/mol of formula units
crystal system	monoclinic

Structure (CIF):
```
data_Y2Ag3GeTe6
_chemical_formula_sum 'Y2 Ag3 Ge1 Te6'
_space_group_name_H-M_alt 'P 1'
_space_group_IT_number 1
_space_group_name_Hall 'P 1'
_cell_length_a 10.492
_cell_length_b 10.492
_cell_length_c 8.195
_cell_angle_alpha 102.18
_cell_angle_beta 102.18
_cell_angle_gamma 23.23
loop_
_atom_site_label
_atom_site_type_symbol
_atom_site_fract_x
_atom_site_fract_y
_atom_site_fract_z
Y1 Y 0.175 0.175 0.322
Y2 Y 0.825 0.825 0.678
Ag1 Ag 0.210 0.210 0.857
Ag2 Ag 0.500 0.500 0.500
Ag3 Ag 0.790 0.790 0.143
Ge1 Ge 0.500 0.500 0.000
Te1 Te 0.016 0.016 0.269
Te2 Te 0.329 0.329 0.406
Te3 Te 0.353 0.353 0.957
Te4 Te 0.647 0.647 0.043
Te5 Te 0.671 0.671 0.594
Te6 Te 0.984 0.984 0.731
```

---

First-principles (PBE-GGA) data for a geometry-optimized ZrVSbAs2 structure, as listed in Alexandria via LeMat-Bulk.

## Properties
M_tot	0.01	μB per cell
DFT total energy	-26.92	eV per formula unit
raw formation energy	402	kJ/mol of formula units
crystal system	tetragonal

Structure (CIF):
```
data_ZrVSbAs2
_chemical_formula_sum 'Zr1 V1 Sb1 As2'
_space_group_name_H-M_alt 'P 1'
_space_group_IT_number 1
_space_group_name_Hall 'P 1'
_cell_length_a 5.146
_cell_length_b 5.146
_cell_length_c 4.812
_cell_angle_alpha 90.00
_cell_angle_beta 90.00
_cell_angle_gamma 90.00
loop_
_atom_site_label
_atom_site_type_symbol
_atom_site_fract_x
_atom_site_fract_y
_atom_site_fract_z
Zr1 Zr 0.000 0.000 0.000
V1 V 0.000 0.000 0.500
Sb1 Sb 0.500 0.500 0.500
As1 As 0.000 0.500 0.000
As2 As 0.500 0.000 0.000
```

---

First-principles (PBE-GGA) data for a geometry-optimized Os2RuW structure, as listed in Alexandria via LeMat-Bulk.

## Properties
ΔE_f	1.7	eV/f.u.
M_tot	1.14	μB per cell
DFT total energy	-42.99	eV per formula unit
energy above the lowest structure with this stoichiometry	0.431	eV/atom
crystal system	tetragonal

Structure (CIF):
```
data_Os2RuW
_chemical_formula_sum 'Os2 Ru1 W1'
_space_group_name_H-M_alt 'P 1'
_space_group_IT_number 1
_space_group_name_Hall 'P 1'
_cell_length_a 3.270
_cell_length_b 3.270
_cell_length_c 5.625
_cell_angle_alpha 90.00
_cell_angle_beta 90.00
_cell_angle_gamma 90.00
loop_
_atom_site_label
_atom_site_type_symbol
_atom_site_fract_x
_atom_site_fract_y
_atom_site_fract_z
Os1 Os 0.000 0.000 0.243
Os2 Os 0.000 0.000 0.757
Ru1 Ru 0.500 0.500 0.000
W1 W 0.500 0.500 0.500
```

---

First-principles (PBE-GGA) data for a geometry-optimized Os2AuO3F6 structure, as listed in Alexandria via LeMat-Bulk.

## Properties
M_tot	0.00	μB per cell
DFT total energy	-67.54	eV per formula unit
raw formation energy	-1515	kJ/mol of formula units
crystal system	monoclinic

Structure (CIF):
```
data_Os2AuO3F6
_chemical_formula_sum 'Os2 Au1 O3 F6'
_space_group_name_H-M_alt 'P 1'
_space_group_IT_number 1
_space_group_name_Hall 'P 1'
_cell_length_a 5.522
_cell_length_b 5.522
_cell_length_c 7.721
_cell_angle_alpha 96.59
_cell_angle_beta 96.59
_cell_angle_gamma 61.84
loop_
_atom_site_label
_atom_site_type_symbol
_atom_site_fract_x
_atom_site_fract_y
_atom_site_fract_z
Os1 Os 0.156 0.156 0.380
Os2 Os 0.844 0.844 0.620
Au1 Au 0.500 0.500 0.000
O1 O 0.000 0.000 0.500
O2 O 0.000 0.500 0.500
O3 O 0.500 0.000 0.500
F1 F 0.175 0.722 0.780
F2 F 0.278 0.825 0.220
F3 F 0.293 0.293 0.217
F4 F 0.707 0.707 0.783
F5 F 0.722 0.175 0.780
F6 F 0.825 0.278 0.220
```

---

First-principles (PBE-GGA) data for a geometry-optimized Na2AlIn structure, as listed in Alexandria via LeMat-Bulk.

## Properties
ΔE_f	0.3	eV/f.u.
M_tot	0.00	μB per cell
DFT total energy	-8.78	eV per formula unit
energy above the lowest structure with this stoichiometry	0.084	eV/atom
crystal system	tetragonal

Structure (CIF):
```
data_Na2AlIn
_chemical_formula_sum 'Na2 Al1 In1'
_space_group_name_H-M_alt 'P 1'
_space_group_IT_number 1
_space_group_name_Hall 'P 1'
_cell_length_a 3.116
_cell_length_b 3.116
_cell_length_c 10.238
_cell_angle_alpha 90.00
_cell_angle_beta 90.00
_cell_angle_gamma 90.00
loop_
_atom_site_label
_atom_site_type_symbol
_atom_site_fract_x
_atom_site_fract_y
_atom_site_fract_z
Na1 Na 0.000 0.000 0.238
Na2 Na 0.000 0.000 0.762
Al1 Al 0.500 0.500 0.000
In1 In 0.500 0.500 0.500
```

---

First-principles (PBE-GGA) data for a geometry-optimized HoHfCu2 structure, as listed in Alexandria via LeMat-Bulk.

## Properties
ΔE_f	-0.6	eV/f.u.
M_tot	0.00	μB per cell
DFT total energy	-23.35	eV per formula unit
energy above the lowest structure with this stoichiometry	0.000	eV/atom
crystal system	tetragonal

Structure (CIF):
```
data_HoHfCu2
_chemical_formula_sum 'Ho1 Hf1 Cu2'
_space_group_name_H-M_alt 'P 1'
_space_group_IT_number 1
_space_group_name_Hall 'P 1'
_cell_length_a 3.350
_cell_length_b 3.350
_cell_length_c 6.688
_cell_angle_alpha 90.00
_cell_angle_beta 90.00
_cell_angle_gamma 90.00
loop_
_atom_site_label
_atom_site_type_symbol
_atom_site_fract_x
_atom_site_fract_y
_atom_site_fract_z
Ho1 Ho 0.000 0.000 0.000
Hf1 Hf 0.000 0.000 0.500
Cu1 Cu 0.500 0.500 0.287
Cu2 Cu 0.500 0.500 0.713
```

---

First-principles (PBE-GGA) data for a geometry-optimized LaZr2S2 structure, as listed in Alexandria via LeMat-Bulk.

## Properties
M_tot	0.00	μB per cell
DFT total energy	-36.24	eV per formula unit
energy above the lowest structure with this stoichiometry	0.000	eV/atom
raw formation energy	-576	kJ/mol of formula units
crystal system	tetragonal

Structure (CIF):
```
data_LaZr2S2
_chemical_formula_sum 'La1 Zr2 S2'
_space_group_name_H-M_alt 'P 1'
_space_group_IT_number 1
_space_group_name_Hall 'P 1'
_cell_length_a 7.318
_cell_length_b 7.318
_cell_length_c 7.318
_cell_angle_alpha 148.19
_cell_angle_beta 148.19
_cell_angle_gamma 45.61
loop_
_atom_site_label
_atom_site_type_symbol
_atom_site_fract_x
_atom_site_fract_y
_atom_site_fract_z
La1 La 0.000 0.000 0.000
Zr1 Zr 0.250 0.750 0.500
Zr2 Zr 0.750 0.250 0.500
S1 S 0.385 0.385 0.000
S2 S 0.615 0.615 0.000
```

---

First-principles (PBE-GGA) data for a geometry-optimized NdCrP2 structure, as listed in Alexandria via LeMat-Bulk.

## Properties
ΔE_f	-2.7	eV/f.u.
M_tot	2.87	μB per cell
DFT total energy	-27.96	eV per formula unit
energy above the lowest structure with this stoichiometry	0.000	eV/atom
crystal system	tetragonal

Structure (CIF):
```
data_NdCrP2
_chemical_formula_sum 'Nd1 Cr1 P2'
_space_group_name_H-M_alt 'P 1'
_space_group_IT_number 1
_space_group_name_Hall 'P 1'
_cell_length_a 5.788
_cell_length_b 5.788
_cell_length_c 5.788
_cell_angle_alpha 140.27
_cell_angle_beta 140.27
_cell_angle_gamma 57.45
loop_
_atom_site_label
_atom_site_type_symbol
_atom_site_fract_x
_atom_site_fract_y
_atom_site_fract_z
Nd1 Nd 0.000 0.000 0.000
Cr1 Cr 0.250 0.750 0.500
P1 P 0.374 0.374 0.000
P2 P 0.626 0.626 0.000
```

---

First-principles (PBE-GGA) data for a geometry-optimized Tb4Nd3Dy5 structure, as listed in Alexandria via LeMat-Bulk.

## Properties
ΔE_f	0.2	eV/f.u.
M_tot	0.00	μB per cell
DFT total energy	-55.65	eV per formula unit
energy above the lowest structure with this stoichiometry	0.000	eV/atom
crystal system	triclinic

Structure (CIF):
```
data_Tb4Nd3Dy5
_chemical_formula_sum 'Tb4 Nd3 Dy5'
_space_group_name_H-M_alt 'P 1'
_space_group_IT_number 1
_space_group_name_Hall 'P 1'
_cell_length_a 6.202
_cell_length_b 7.162
_cell_length_c 8.772
_cell_angle_alpha 90.02
_cell_angle_beta 90.14
_cell_angle_gamma 90.18
loop_
_atom_site_label
_atom_site_type_symbol
_atom_site_fract_x
_atom_site_fract_y
_atom_site_fract_z
Tb1 Tb 0.167 0.000 0.168
Tb2 Tb 0.332 0.249 0.833
Tb3 Tb 0.668 0.751 0.167
Tb4 Tb 0.833 0.000 0.832
Nd1 Nd 0.333 0.750 0.834
Nd2 Nd 0.500 0.500 0.500
Nd3 Nd 0.667 0.250 0.166
Dy1 Dy 0.001 0.249 0.500
Dy2 Dy 0.165 0.500 0.167
Dy3 Dy 0.500 0.000 0.500
Dy4 Dy 0.835 0.500 0.833
Dy5 Dy 0.999 0.751 0.500
```

---

First-principles (PBE-GGA) data for a geometry-optimized CeNdPdAu structure, as listed in Alexandria via LeMat-Bulk.

## Properties
ΔE_f	-2.6	eV/f.u.
M_tot	1.11	μB per cell
DFT total energy	-21.78	eV per formula unit
energy above the lowest structure with this stoichiometry	0.074	eV/atom
crystal system	cubic

Structure (CIF):
```
data_CeNdPdAu
_chemical_formula_sum 'Ce1 Nd1 Pd1 Au1'
_space_group_name_H-M_alt 'P 1'
_space_group_IT_number 1
_space_group_name_Hall 'P 1'
_cell_length_a 5.175
_cell_length_b 5.175
_cell_length_c 5.175
_cell_angle_alpha 60.00
_cell_angle_beta 60.00
_cell_angle_gamma 60.00
loop_
_atom_site_label
_atom_site_type_symbol
_atom_site_fract_x
_atom_site_fract_y
_atom_site_fract_z
Ce1 Ce 0.000 0.000 0.000
Nd1 Nd 0.500 0.500 0.500
Pd1 Pd 0.750 0.750 0.750
Au1 Au 0.250 0.250 0.250
```